Computed, not measured: a relaxed Dy4Pd7Pt crystal at the PBE level of DFT.

Values from the calculation:
- SG = P-1, No. 2

Unit cell a=5.5981 b=10.1123 c=6.8914 alpha=77.31 beta=51.67 gamma=52.75
With the nearest neighbours (Å) after each atom.
Fractional positions:
Dy  0.6886  0.2040  0.4382  7 Pd 2.78-3.02, 1 Pt 2.88
Dy  0.3114  0.7960  0.5618  7 Pd 2.78-3.02, 1 Pt 2.88
Dy  0.7050  0.6567  0.8991  8 Pd 2.87-3.20, 1 Pt 3.03
Dy  0.2950  0.3433  0.1009  8 Pd 2.87-3.20, 1 Pt 3.03
Pd  0.7573  0.8832  0.5349  4 Pd 2.66-2.84, 1 Dy 2.79, 1 Pt 2.90
Pd  0.2427  0.1168  0.4651  4 Pd 2.66-2.84, 1 Dy 2.79, 1 Pt 2.90
Pd  0.9911  0.7214  0.1002  1 Pt 2.77, 4 Pd 2.78-2.99, 4 Dy 2.78-3.11
Pd  0.0089  0.2786  0.8998  1 Pt 2.77, 4 Pd 2.78-2.99, 4 Dy 2.78-3.11
Pd  0.6335  0.4588  0.6558  4 Pd 2.73-3.04, 4 Dy 2.87-3.02
Pd  0.5000  0.0000  0.0000  4 Pd 2.76-2.85, 2 Pt 2.80, 4 Dy 2.90-3.02
Pd  0.3665  0.5412  0.3442  4 Pd 2.73-3.04, 4 Dy 2.87-3.02
Pt  0.0000  0.0000  0.0000  6 Pd 2.77-2.90, 4 Dy 2.88-3.03

---

Computed, not measured: a relaxed Dy3Pd2Pt crystal at the PBE level of DFT.

Values from the calculation:
- SG = C2/c, No. 15

Unit cell a=5.6794 b=6.5798 c=7.8278 alpha=101.72 beta=111.27 gamma=90.00
With the nearest neighbours (Å) after each atom.
Fractional positions:
Dy  0.3561  0.2500  0.0000  2 Pt 2.82-2.86, 2 Pd 2.95
Dy  0.6439  0.7500  0.0000  2 Pt 2.82-2.86, 2 Pd 2.95
Dy  0.0708  0.1399  0.3481  1 Pt 2.80, 5 Pd 2.94-2.99
Dy  0.7227  0.3601  0.6519  1 Pt 2.80, 5 Pd 2.94-2.99
Dy  0.2773  0.6399  0.3481  1 Pt 2.80, 5 Pd 2.94-2.99
Dy  0.9292  0.8601  0.6519  1 Pt 2.80, 5 Pd 2.94-2.99
Pd  0.7628  0.5054  0.3269  7 Dy 2.94-3.16, 1 Pt 2.99, 1 Pd 3.06
Pd  0.5642  0.0054  0.3269  7 Dy 2.94-3.16, 1 Pt 2.99, 1 Pd 3.06
Pd  0.4358  0.9946  0.6731  7 Dy 2.94-3.16, 1 Pt 2.99, 1 Pd 3.06
Pd  0.2372  0.4946  0.6731  7 Dy 2.94-3.16, 1 Pt 2.99, 1 Pd 3.06
Pt  0.1410  0.7500  0.0000  4 Dy 2.80-2.86, 2 Pd 2.99
Pt  0.8590  0.2500  0.0000  4 Dy 2.80-2.86, 2 Pd 2.99

---

Computed, not measured: a relaxed DyPd3Pt crystal at the PBE level of DFT.

Values from the calculation:
- excess energy over the best structure of this formula in the dataset (meV/atom) = 451
- SG = I-4m2, No. 119

Unit cell a=5.0246 b=5.0246 c=9.7751 alpha=104.89 beta=104.89 gamma=90.00
With the nearest neighbours (Å) after each atom.
Fractional positions:
Dy  0.5857  0.0857  0.1713  6 Pd 2.91-3.03, 2 Pt 2.96
Dy  0.9143  0.4143  0.8287  6 Pd 2.91-3.03, 2 Pt 2.96
Pd  0.6224  0.8737  0.7474  2 Pd 2.50-2.53, 2 Pt 2.58-2.62
Pd  0.1263  0.8750  0.2526  2 Pd 2.50-2.53, 2 Pt 2.58-2.62
Pd  0.1263  0.3776  0.2526  2 Pd 2.50-2.53, 2 Pt 2.58-2.62
Pd  0.1250  0.8737  0.7474  2 Pd 2.50-2.53, 2 Pt 2.58-2.62
Pd  0.3214  0.3214  0.6428  2 Pt 2.83, 4 Pd 2.96, 2 Dy 3.03
Pd  0.6786  0.6786  0.3572  2 Pt 2.83, 4 Pd 2.96, 2 Dy 3.03
Pt  0.0000  0.0000  0.0000  4 Pd 2.62
Pt  0.2500  0.7500  0.5000  8 Pd 2.58-2.83

---

Computed, not measured: a relaxed DyPd7Pt4 crystal at the PBE level of DFT.

Values from the calculation:
- SG = C2/m, No. 12

Unit cell a=4.9261 b=8.7147 c=5.6505 alpha=83.70 beta=64.16 gamma=73.58
With the nearest neighbours (Å) after each atom.
Fractional positions:
Dy  0.0000  0.0000  0.0000  4 Pd 2.46-2.65
Pd  0.7906  0.9170  0.5018  4 Pd 2.62-2.83, 1 Dy 2.65, 4 Pt 2.68-2.82
Pd  0.2094  0.0830  0.4982  4 Pd 2.62-2.83, 1 Dy 2.65, 4 Pt 2.68-2.82
Pd  0.0333  0.6213  0.3122  5 Pd 2.64-2.88, 4 Pt 2.69-2.86
Pd  0.9667  0.3787  0.6878  5 Pd 2.64-2.88, 4 Pt 2.69-2.86
Pd  0.3402  0.5513  0.7684  5 Pt 2.69-2.77, 4 Pd 2.82-2.88
Pd  0.5000  0.0000  0.0000  2 Dy 2.46, 2 Pd 2.62, 2 Pt 2.72
Pd  0.6599  0.4487  0.2316  5 Pt 2.69-2.77, 4 Pd 2.82-2.88
Pt  0.5760  0.2310  0.6170  8 Pd 2.68-2.82, 1 Pt 2.71
Pt  0.4240  0.7690  0.3830  8 Pd 2.68-2.82, 1 Pt 2.71
Pt  0.7248  0.6834  0.8671  7 Pd 2.69-2.86, 1 Pt 2.71
Pt  0.2752  0.3166  0.1329  7 Pd 2.69-2.86, 1 Pt 2.71

---

| no. | formation enthalpy at 0 K (eV/atom) | VASP energy (Ry/atom) |
| --- | --- | --- |
| 1 | -0.86 | -0.4354 |
| 2 | -0.93 | -0.4390 |
| 3 | -0.15 | -0.3963 |
| 4 | -0.05 | -0.4022 |